The following is a PBE-GGA calculation of an optimized crystal structure of Cs8Au3I4, from the Alexandria database.

abc: 10.8338 10.8612 10.8612
angles: 89.95 119.93 119.93
Fractional coordinates of all 15 atoms:
Cs 0.5027 0.2555 0.2555
Cs 0.0000 0.7489 0.2511
Cs 0.0000 0.2511 0.7489
I 0.0000 0.0000 0.5000
I 0.0000 0.0000 0.0000
Cs 0.0088 0.2553 0.2553
Cs 0.9912 0.7447 0.7447
I 0.0000 0.5000 0.0000
Au 0.5000 0.5000 0.5000
Cs 0.4973 0.7445 0.7445
Cs 0.5000 0.7445 0.2555
Cs 0.5000 0.2555 0.7445
I 0.5000 0.0000 0.0000
Au 0.5000 0.5000 0.0000
Au 0.5000 0.0000 0.5000

Properties
The magnetization comes out at 0.85 μB/f.u. Its space group is C2/m, No. 12. As for the raw formation energy: -0.935 eV per atom.